DFT (PBE-GGA) results for an optimized crystal structure of Sr3Sc2Bi4.

For the total magnetic moment, the calculation gives 0.0 μB/cell. The formation energy from the elements comes out at -0.736 eV per atom.

The space group is C2/m (No. 12) and the conventional cell measures 15.172, 4.855 and 10.536 Å, with angles of 90.00, 123.78 and 90.00 degrees. The asymmetric unit holds Sr at (0.000, 0.000, 0.000), Sr at (0.137, 0.500, 0.732), Sc at (0.177, 0.500, 0.349), Bi at (0.088, 0.000, 0.407) and Bi at (0.177, 0.500, 0.080).


DFT (PBE-GGA) results for an optimized crystal structure of InSn4Ir.

Its energy above the lowest structure with this stoichiometry is 0.179 eV/f.u. For the total magnetic moment, the calculation gives 0.0 μB/cell. The formation energy from the elements comes out at -0.077 eV per atom.

The space group is C2/c (No. 15) and the conventional cell measures 9.665, 10.573 and 5.937 Å, with angles of 90.00, 98.87 and 90.00 degrees. The asymmetric unit holds In at (0.000, 0.052, 0.250), Sn at (0.098, 0.293, 0.517), Sn at (0.231, 0.401, 0.054) and Ir at (0.000, 0.496, 0.750).


DFT (PBE-GGA) results for an optimized crystal structure of Sc2Tc.

Its energy above the lowest structure with this stoichiometry is 0.066 eV/f.u. For the total magnetic moment, the calculation gives 0.0 μB/cell. The formation energy from the elements comes out at -0.190 eV per atom.

The space group is Pnma (No. 62) and the conventional cell measures 5.918, 4.523 and 8.568 Å, with angles of 90.00, 90.00 and 90.00 degrees. The asymmetric unit holds Sc at (0.043, 0.250, 0.210), Sc at (0.170, 0.250, 0.563) and Tc at (0.182, 0.250, 0.890).